[1]
CsOs3O | GGA-PBE | relaxed

It has space group Pm-3m (No. 221), with a = 4.3613 Å, b = 4.3613 Å, c = 4.3613 Å, α = 90.00°, β = 90.00° and γ = 90.00°. The distinct sites, in fractional coordinates, are Cs at (0.0000, 0.0000, 0.0000), Os at (0.0000, 0.5000, 0.5000) and O at (0.5000, 0.5000, 0.5000).

As for the density of states at the Fermi level: 7.525 states/eV/f.u. The energy relative to the lowest polymorph listed for this composition comes out at 0 meV per atom. The value obtained for the total energy is -5.758 eV per atom.

=====

[2]
Cs3OsO6 | GGA-PBE | relaxed

It has space group C2/m (No. 12), with a = 11.5965 Å, b = 6.6720 Å, c = 6.9120 Å, α = 90.00°, β = 124.14° and γ = 90.00°. The distinct sites, in fractional coordinates, are Cs at (0.0000, 0.0000, 0.0000), Cs at (0.2437, 0.0000, 0.7365), Os at (0.0000, 0.5000, 0.5000), O at (0.0380, 0.3022, 0.3518) and O at (0.1876, 0.5000, 0.7513).

As for the density of states at the Fermi level: 10.562 states/eV/f.u. The value obtained for the total energy is -5.577 eV per atom.

=====

[3]
Cs3OsO6 | GGA-PBE | relaxed

It has space group P2_1/c (No. 14), with a = 6.7796 Å, b = 6.8058 Å, c = 11.7182 Å, α = 90.00°, β = 124.95° and γ = 90.00°. The distinct sites, in fractional coordinates, are Cs at (0.0000, 0.0000, 0.0000), Cs at (0.2539, 0.0230, 0.7501), Os at (0.5000, 0.0000, 0.5000), O at (0.2579, 0.0171, 0.3094), O at (0.3042, 0.6636, 0.0232) and O at (0.3722, 0.2200, 0.5320).

As for the density of states at the Fermi level: 10.537 states/eV/f.u. The value obtained for the total energy is -5.577 eV per atom.

=====

[4]
CsP2OsO8 | GGA-PBE | relaxed

It has space group R-3 (No. 148, hexagonal axes), with a = 4.9262 Å, b = 4.9262 Å, c = 27.9306 Å, α = 90.00°, β = 90.00° and γ = 120.00°. The distinct sites, in fractional coordinates, are Cs at (0.0000, 0.0000, 0.0000), P at (0.0000, 0.0000, 0.2283), Os at (0.0000, 0.0000, 0.5000), O at (0.0000, 0.0000, 0.2819) and O at (0.0164, 0.6227, 0.8745).

As for the density of states at the Fermi level: 0.856 states/eV/f.u. The value obtained for the total energy is -7.036 eV per atom.

=====

[5]
CsP2OsO | GGA-PBE | relaxed

It has space group P4/mmm (No. 123), with a = 4.5697 Å, b = 4.5697 Å, c = 4.8311 Å, α = 90.00°, β = 90.00° and γ = 90.00°. The distinct sites, in fractional coordinates, are Cs at (0.0000, 0.0000, 0.0000), P at (0.0000, 0.5000, 0.5000), Os at (0.5000, 0.5000, 0.5000) and O at (0.5000, 0.5000, 0.0000).

As for the density of states at the Fermi level: 4.754 states/eV/f.u. The energy relative to the lowest polymorph listed for this composition comes out at 0 meV per atom. The value obtained for the total energy is -5.334 eV per atom.

=====

[6]
CsP2OsO | GGA-PBE | relaxed

It has space group P4/mmm (No. 123), with a = 5.3397 Å, b = 5.3397 Å, c = 4.0580 Å, α = 90.00°, β = 90.00° and γ = 90.00°. The distinct sites, in fractional coordinates, are Cs at (0.0000, 0.0000, 0.0000), P at (0.0000, 0.5000, 0.0000), Os at (0.5000, 0.5000, 0.5000) and O at (0.0000, 0.0000, 0.5000).

As for the density of states at the Fermi level: 6.224 states/eV/f.u. The energy relative to the lowest polymorph listed for this composition comes out at 2231 meV per atom. The value obtained for the total energy is -3.104 eV per atom.

=====

[7]
CsPaOsO6 | GGA-PBE | relaxed

It has space group Imma (No. 74), with a = 7.3827 Å, b = 8.0029 Å, c = 10.8941 Å, α = 90.00°, β = 90.00° and γ = 90.00°. The distinct sites, in fractional coordinates, are Cs at (0.0000, 0.2500, 0.1097), Pa at (0.0000, 0.0000, 0.5000), Os at (0.2500, 0.2500, 0.7500), O at (0.0000, 0.2500, 0.4239), O at (0.0000, 0.2500, 0.7823) and O at (0.2145, 0.0791, 0.6264).

As for the density of states at the Fermi level: 4.412 states/eV/f.u. The value obtained for the total energy is -7.875 eV per atom.

=====

[8]
CsPaOs2O8 | GGA-PBE | relaxed

It has space group P-3m1 (No. 164), with a = 5.9520 Å, b = 5.9520 Å, c = 8.6770 Å, α = 90.00°, β = 90.00° and γ = 120.00°. The distinct sites, in fractional coordinates, are Cs at (0.0000, 0.0000, 0.0000), Pa at (0.0000, 0.0000, 0.5000), Os at (0.3333, 0.6667, 0.7437), O at (0.1702, 0.3404, 0.6494) and O at (0.3333, 0.6667, 0.9462).

As for the density of states at the Fermi level: 10.043 states/eV/f.u. The value obtained for the total energy is -7.664 eV per atom.

=====

[9]
Cs2Pa3OsO12 | GGA-PBE | relaxed

It has space group R-3m (No. 166, hexagonal axes), with a = 8.0305 Å, b = 8.0305 Å, c = 19.1142 Å, α = 90.00°, β = 90.00° and γ = 120.00°. The distinct sites, in fractional coordinates, are Cs at (0.0000, 0.0000, 0.1211), Pa at (0.0000, 0.5000, 0.0000), Os at (0.0000, 0.0000, 0.5000), O at (0.0784, 0.5392, 0.3593) and O at (0.1090, 0.5545, 0.1102).

As for the density of states at the Fermi level: 7.035 states/eV/f.u. The value obtained for the total energy is -8.268 eV per atom.

=====

[10]
CsOsPbO6 | GGA-PBE | relaxed

It has space group P312 (No. 149), with a = 5.7185 Å, b = 5.7185 Å, c = 6.4376 Å, α = 90.00°, β = 90.00° and γ = 120.00°. The distinct sites, in fractional coordinates, are Cs at (0.0000, 0.0000, 0.0000), Os at (0.6667, 0.3333, 0.5000), Pb at (0.3333, 0.6667, 0.5000) and O at (0.4331, 0.0453, 0.6770).

As for the density of states at the Fermi level: 3.007 states/eV/f.u. The value obtained for the total energy is -6.141 eV per atom.

=====

[11]
CsOs2PbO8 | GGA-PBE | relaxed

It has space group P-3 (No. 147), with a = 5.9673 Å, b = 5.9673 Å, c = 8.9967 Å, α = 90.00°, β = 90.00° and γ = 120.00°. The distinct sites, in fractional coordinates, are Cs at (0.0000, 0.0000, 0.0000), Os at (0.3333, 0.6667, 0.7489), Pb at (0.0000, 0.0000, 0.5000), O at (0.0922, 0.3541, 0.6824) and O at (0.3333, 0.6667, 0.9454).

As for the density of states at the Fermi level: 8.180 states/eV/f.u. The value obtained for the total energy is -6.661 eV per atom.

=====

[12]
Cs2OsPbO6 | GGA-PBE | relaxed

It has space group P-3m1 (No. 164), with a = 6.6311 Å, b = 6.6311 Å, c = 6.2280 Å, α = 90.00°, β = 90.00° and γ = 120.00°. The distinct sites, in fractional coordinates, are Cs at (0.3333, 0.6667, 0.3565), Os at (0.0000, 0.0000, 0.5000), Pb at (0.0000, 0.0000, 0.0000) and O at (0.1324, 0.2649, 0.6805).

As for the density of states at the Fermi level: 0.328 states/eV/f.u. The value obtained for the total energy is -5.847 eV per atom.

=====

[13]
Cs2OsPdO6 | GGA-PBE | relaxed

It has space group P-3m1 (No. 164), with a = 6.4861 Å, b = 6.4861 Å, c = 5.3639 Å, α = 90.00°, β = 90.00° and γ = 120.00°. The distinct sites, in fractional coordinates, are Cs at (0.3333, 0.6667, 0.2726), Os at (0.0000, 0.0000, 0.0000), Pd at (0.0000, 0.0000, 0.5000) and O at (0.1335, 0.2670, 0.7688).

As for the density of states at the Fermi level: 10.507 states/eV/f.u. The value obtained for the total energy is -5.805 eV per atom.

=====

[14]
Cs3Pm3OsO8 | GGA-PBE | relaxed

It has space group R-3m (No. 166, hexagonal axes), with a = 7.0869 Å, b = 7.0869 Å, c = 20.7526 Å, α = 90.00°, β = 90.00° and γ = 120.00°. The distinct sites, in fractional coordinates, are Cs at (0.0000, 0.5000, 0.0000), Pm at (0.0000, 0.5000, 0.5000), Os at (0.0000, 0.0000, 0.5000), O at (0.0000, 0.0000, 0.2223) and O at (0.0336, 0.5168, 0.2175).

As for the density of states at the Fermi level: 3.325 states/eV/f.u. The value obtained for the total energy is -6.672 eV per atom.

=====

[15]
Cs2PmOsO6 | GGA-PBE | relaxed

It has space group P-3m1 (No. 164), with a = 6.7135 Å, b = 6.7135 Å, c = 5.9548 Å, α = 90.00°, β = 90.00° and γ = 120.00°. The distinct sites, in fractional coordinates, are Cs at (0.3333, 0.6667, 0.3720), Pm at (0.0000, 0.0000, 0.0000), Os at (0.0000, 0.0000, 0.5000) and O at (0.1307, 0.2614, 0.6976).

As for the density of states at the Fermi level: 5.270 states/eV/f.u. The value obtained for the total energy is -6.471 eV per atom.

=====

[16]
CsPr2OsO8 | GGA-PBE | relaxed

It has space group P2/m (No. 10), with a = 4.4747 Å, b = 5.3615 Å, c = 7.7888 Å, α = 90.00°, β = 106.23° and γ = 90.00°. The distinct sites, in fractional coordinates, are Cs at (0.0000, 0.0000, 0.0000), Pr at (0.3753, 0.5000, 0.6930), Os at (0.0000, 0.0000, 0.5000), O at (0.1837, 0.2652, 0.3953), O at (0.3286, 0.5000, 0.9933) and O at (0.3373, 0.0000, 0.7058).

As for the density of states at the Fermi level: 4.002 states/eV/f.u. The value obtained for the total energy is -7.045 eV per atom.

=====

[17]
Cs2Rb3OsO6 | GGA-PBE | relaxed

It has space group C2/m (No. 12), with a = 6.9568 Å, b = 12.1468 Å, c = 6.5472 Å, α = 90.00°, β = 111.30° and γ = 90.00°. The distinct sites, in fractional coordinates, are Cs at (0.0000, 0.1689, 0.0000), Rb at (0.0000, 0.0000, 0.5000), Rb at (0.0000, 0.3475, 0.5000), Os at (0.0000, 0.5000, 0.0000), O at (0.1696, 0.5000, 0.8214) and O at (0.1744, 0.3877, 0.1871).

As for the density of states at the Fermi level: 6.420 states/eV/f.u. The value obtained for the total energy is -5.097 eV per atom.

=====

[18]
Cs3RbOs2O8 | GGA-PBE | relaxed

It has space group P-3m1 (No. 164), with a = 6.6769 Å, b = 6.6769 Å, c = 8.6452 Å, α = 90.00°, β = 90.00° and γ = 120.00°. The distinct sites, in fractional coordinates, are Cs at (0.0000, 0.0000, 0.0000), Cs at (0.3333, 0.6667, 0.6666), Rb at (0.0000, 0.0000, 0.5000), Os at (0.3333, 0.6667, 0.2083), O at (0.1878, 0.3756, 0.2902) and O at (0.3333, 0.6667, 0.0013).

The value obtained for the total energy is -6.060 eV per atom.

=====

[19]
Cs2RbOs3O12 | GGA-PBE | relaxed

It has space group R-3m (No. 166, hexagonal axes), with a = 7.3772 Å, b = 7.3772 Å, c = 19.3315 Å, α = 90.00°, β = 90.00° and γ = 120.00°. The distinct sites, in fractional coordinates, are Cs at (0.0000, 0.0000, 0.1088), Rb at (0.0000, 0.0000, 0.5000), Os at (0.0000, 0.5000, 0.0000), O at (0.0665, 0.5333, 0.9099) and O at (0.0797, 0.5398, 0.3155).

As for the density of states at the Fermi level: 1.230 states/eV/f.u. The value obtained for the total energy is -6.557 eV per atom.

=====

[20]
Cs2Rb2OsO4 | GGA-PBE | relaxed

It has space group I4/mmm (No. 139), with a = 6.6484 Å, b = 6.6484 Å, c = 9.2503 Å, α = 90.00°, β = 90.00° and γ = 90.00°. The distinct sites, in fractional coordinates, are Cs at (0.0000, 0.5000, 0.2500), Rb at (0.0000, 0.0000, 0.1571), Os at (0.0000, 0.0000, 0.5000) and O at (0.2053, 0.2053, 0.5000).

As for the density of states at the Fermi level: 1.366 states/eV/f.u. The value obtained for the total energy is -4.877 eV per atom.

=====

[21]
CsRb2OsO4 | GGA-PBE | relaxed

It has space group I-4m2 (No. 119), with a = 6.6998 Å, b = 6.6998 Å, c = 7.9233 Å, α = 90.00°, β = 90.00° and γ = 90.00°. The distinct sites, in fractional coordinates, are Cs at (0.0000, 0.0000, 0.0000), Rb at (0.0000, 0.0000, 0.5000), Rb at (0.0000, 0.5000, 0.2500), Os at (0.0000, 0.5000, 0.7500) and O at (0.1964, 0.3036, 0.7500).

As for the density of states at the Fermi level: 6.726 states/eV/f.u. The value obtained for the total energy is -5.562 eV per atom.